## P
# PBE-GGA La8NdHo2, relaxed
# - theoretical density (Mg/m³) = 6.728
# - V (A^3/atom) = 35.571
# - space-group type = P-1, No. 2
data_La8NdHo2
_space_group_name_H-M_alt 'P 1'
_space_group_IT_number 1
_cell_length_a 6.374
_cell_length_b 6.405
_cell_length_c 9.781
_cell_angle_alpha 96.27
_cell_angle_beta 90.03
_cell_angle_gamma 99.62
loop_
_space_group_symop_operation_xyz
'x,y,z'
loop_
_atom_site_label
_atom_site_type_symbol
_atom_site_fract_x
_atom_site_fract_y
_atom_site_fract_z
La1 La 0.094 0.045 0.180
La2 La 0.185 0.591 0.363
La3 La 0.274 0.139 0.549
La4 La 0.364 0.687 0.733
La5 La 0.636 0.313 0.267
La6 La 0.726 0.861 0.451
La7 La 0.815 0.409 0.637
La8 La 0.906 0.955 0.820
Nd1 Nd 0.000 0.500 0.000
Ho1 Ho 0.454 0.230 0.912
Ho2 Ho 0.546 0.770 0.088

## Q
# PBE-GGA La8NdHo2, relaxed
# - theoretical density (Mg/m³) = 6.418
# - V (A^3/atom) = 37.291
# - space-group type = C2/m, No. 12
data_La8NdHo2
_space_group_name_H-M_alt 'P 1'
_space_group_IT_number 1
_cell_length_a 10.471
_cell_length_b 10.471
_cell_length_c 5.800
_cell_angle_alpha 92.78
_cell_angle_beta 92.78
_cell_angle_gamma 40.23
loop_
_space_group_symop_operation_xyz
'x,y,z'
loop_
_atom_site_label
_atom_site_type_symbol
_atom_site_fract_x
_atom_site_fract_y
_atom_site_fract_z
La1 La 0.044 0.044 0.238
La2 La 0.094 0.641 0.264
La3 La 0.315 0.315 0.764
La4 La 0.359 0.906 0.736
La5 La 0.641 0.094 0.264
La6 La 0.685 0.685 0.236
La7 La 0.906 0.359 0.736
La8 La 0.956 0.956 0.762
Nd1 Nd 0.500 0.500 0.000
Ho1 Ho 0.216 0.216 0.255
Ho2 Ho 0.784 0.784 0.745

Ranked by calculated energy, most stable first: P, Q.

## P
# PBE-GGA La3Nd2Ho3, relaxed
# - theoretical density (Mg/m³) = 7.262
# - V (A^3/atom) = 34.300
# - space-group type = Immm, No. 71
data_La3Nd2Ho3
_space_group_name_H-M_alt 'P 1'
_space_group_IT_number 1
_cell_length_a 11.013
_cell_length_b 11.013
_cell_length_c 11.013
_cell_angle_alpha 153.27
_cell_angle_beta 152.77
_cell_angle_gamma 38.53
loop_
_space_group_symop_operation_xyz
'x,y,z'
loop_
_atom_site_label
_atom_site_type_symbol
_atom_site_fract_x
_atom_site_fract_y
_atom_site_fract_z
La1 La 0.000 0.000 0.000
La2 La 0.378 0.878 0.500
La3 La 0.622 0.122 0.500
Nd1 Nd 0.249 0.249 0.000
Nd2 Nd 0.751 0.751 0.000
Ho1 Ho 0.126 0.626 0.500
Ho2 Ho 0.500 0.500 0.000
Ho3 Ho 0.874 0.374 0.500

## Q
# PBE-GGA La3Nd2Ho3, relaxed
# - theoretical density (Mg/m³) = 7.179
# - V (A^3/atom) = 34.696
# - space-group type = C2/m, No. 12
data_La3Nd2Ho3
_space_group_name_H-M_alt 'P 1'
_space_group_IT_number 1
_cell_length_a 8.763
_cell_length_b 8.763
_cell_length_c 6.114
_cell_angle_alpha 109.85
_cell_angle_beta 109.85
_cell_angle_gamma 39.33
loop_
_space_group_symop_operation_xyz
'x,y,z'
loop_
_atom_site_label
_atom_site_type_symbol
_atom_site_fract_x
_atom_site_fract_y
_atom_site_fract_z
La1 La 0.000 0.000 0.000
La2 La 0.136 0.136 0.696
La3 La 0.864 0.864 0.304
Nd1 Nd 0.251 0.251 0.318
Nd2 Nd 0.749 0.749 0.682
Ho1 Ho 0.371 0.371 0.918
Ho2 Ho 0.500 0.500 0.500
Ho3 Ho 0.629 0.629 0.082

Ranked by calculated energy, most stable first: P, Q.